Crystalline TmV2CdO8 at its relaxed geometry, computed with PBE+U.

abc: 7.1855 7.1855 6.3868
angles: 90.00 90.00 90.00
Last column: nearest neighbours and their distance in Å.
Space group I-4m2 (No. 119)
Asymmetric unit:
Tm: 0.0000 0.0000 0.0000 [2 per cell]  8 O 2.26-2.44
V: 0.0000 0.0000 0.5000 [2 per cell]  4 O 1.74
V: 0.0000 0.5000 0.7500 [2 per cell]  4 O 1.74
Cd: 0.0000 0.5000 0.2500 [2 per cell]  8 O 2.32-2.58
O: 0.0000 0.1839 0.3220 [8 per cell]  1 V 1.74
O: 0.0000 0.3048 0.9107 [8 per cell]  1 V 1.74

Computed properties:
Total energy in eV/atom: -6.99
Volume in Å³/f.u.: 164.9
Total moment in μB/f.u.: 1.1